Entry 1:
Entry from the Alexandria database: an optimized crystal structure of Mn2InHg (PBE).

distance to the lowest polymorph of the same formula: 0.0613 eV/atom
space-group type: Pmm2, No. 25

POSCAR file:
```
Mn2InHg
1.0
3.042 0.000 0.000
0.000 4.774 0.000
0.000 0.000 4.931
Mn In Hg
2 1 1
direct
0.000 0.000 0.000
0.000 0.500 0.372
0.500 0.000 0.485
0.500 0.500 0.882
```



Entry 2:
Entry from the Alexandria database: an optimized crystal structure of MnInHg2 (PBE).

space-group type: C2/m, No. 12

POSCAR file:
```
MnInHg2
1.0
4.760 -1.702 0.000
4.760 1.702 0.000
-1.137 0.000 5.441
Mn In Hg
1 1 2
direct
0.000 0.000 0.000
0.500 0.500 0.500
0.260 0.260 0.774
0.740 0.740 0.226
```



Entry 3:
Entry from the Alexandria database: an optimized crystal structure of Mn2InHg (PBE).

distance to the lowest polymorph of the same formula: 0.0510 eV/atom
space-group type: P2/m, No. 10

POSCAR file:
```
Mn2InHg
1.0
3.058 0.000 0.000
0.000 3.916 0.000
-0.022 0.000 5.988
Mn In Hg
2 1 1
direct
0.000 0.000 0.249
0.000 0.000 0.751
0.500 0.500 0.000
0.500 0.500 0.500
```



Entry 4:
Entry from the Alexandria database: an optimized crystal structure of MnIn4Hg (PBE).

space-group type: F-43m, No. 216

POSCAR file:
```
MnIn4Hg
1.0
0.000 4.307 4.307
4.307 0.000 4.307
4.307 4.307 0.000
Mn In Hg
1 4 1
direct
0.000 0.000 0.000
0.375 0.375 0.375
0.375 0.375 0.875
0.375 0.875 0.375
0.875 0.375 0.375
0.750 0.750 0.750
```



Entry 5:
Entry from the Alexandria database: an optimized crystal structure of MnInHg2 (PBE).

space-group type: I4/mmm, No. 139

POSCAR file:
```
MnInHg2
1.0
-2.226 2.226 4.356
2.226 -2.226 4.356
2.226 2.226 -4.356
Mn In Hg
1 1 2
direct
0.000 0.000 0.000
0.500 0.500 0.000
0.250 0.750 0.500
0.750 0.250 0.500
```



Entry 6:
Entry from the Alexandria database: an optimized crystal structure of MnInHg2 (PBE).

space-group type: P4mm, No. 99

POSCAR file:
```
MnInHg2
1.0
3.247 0.000 0.000
0.000 3.247 0.000
0.000 0.000 8.292
Mn In Hg
1 1 2
direct
0.000 0.000 0.000
0.500 0.500 0.783
0.000 0.000 0.496
0.500 0.500 0.213
```



Entry 7:
Entry from the Alexandria database: an optimized crystal structure of MnInHg2 (PBE).

space-group type: F-43m, No. 216

POSCAR file:
```
MnInHg2
1.0
0.000 3.554 3.554
3.554 0.000 3.554
3.554 3.554 0.000
Mn In Hg
1 1 2
direct
0.000 0.000 0.000
0.250 0.250 0.250
0.500 0.500 0.500
0.750 0.750 0.750
```



Entry 8:
Entry from the Alexandria database: an optimized crystal structure of MnInHg2 (PBE).

space-group type: P4/mmm, No. 123

POSCAR file:
```
MnInHg2
1.0
3.282 0.000 0.000
0.000 3.282 0.000
0.000 0.000 8.211
Mn In Hg
1 1 2
direct
0.000 0.000 0.000
0.000 0.000 0.500
0.500 0.500 0.215
0.500 0.500 0.785
```



Entry 9:
Entry from the Alexandria database: an optimized crystal structure of MnInHg2 (PBE).

space-group type: Immm, No. 71

POSCAR file:
```
MnInHg2
1.0
-1.525 2.375 6.194
1.525 -2.375 6.194
1.525 2.375 -6.194
Mn In Hg
1 1 2
direct
0.000 0.000 0.000
0.500 0.500 0.000
0.193 0.693 0.500
0.807 0.307 0.500
```



Entry 10:
Entry from the Alexandria database: an optimized crystal structure of Mn2InHg (PBE).

distance to the lowest polymorph of the same formula: 0.0000 eV/atom
space-group type: P4mm, No. 99

POSCAR file:
```
Mn2InHg
1.0
3.038 0.000 0.000
0.000 3.038 0.000
0.000 0.000 7.832
Mn In Hg
2 1 1
direct
0.000 0.000 0.000
0.500 0.500 0.173
0.500 0.500 0.755
0.000 0.000 0.427
```



Entry 11:
Entry from the Alexandria database: an optimized crystal structure of MnInHg2 (PBE).

space-group type: I-4m2, No. 119

POSCAR file:
```
MnInHg2
1.0
-2.172 2.172 4.607
2.172 -2.172 4.607
2.172 2.172 -4.607
Mn In Hg
1 1 2
direct
0.000 0.000 0.000
0.750 0.250 0.500
0.250 0.750 0.500
0.500 0.500 0.000
```



Entry 12:
Entry from the Alexandria database: an optimized crystal structure of MnInHg2 (PBE).

space-group type: R-3m, No. 166

POSCAR file:
```
MnInHg2
1.0
1.648 0.951 9.438
-1.648 0.951 9.438
0.000 -1.903 9.438
Mn In Hg
1 1 2
direct
0.000 0.000 0.000
0.500 0.500 0.500
0.259 0.259 0.259
0.741 0.741 0.741
```



Entry 13:
Entry from the Alexandria database: an optimized crystal structure of MnInHg2 (PBE).

space-group type: Cm, No. 8

POSCAR file:
```
MnInHg2
1.0
4.838 -1.792 0.000
4.838 1.792 0.000
-1.074 0.000 5.091
Mn In Hg
1 1 2
direct
0.000 0.000 0.000
0.256 0.256 0.754
0.498 0.498 0.488
0.740 0.740 0.215
```



Entry 14:
Entry from the Alexandria database: an optimized crystal structure of Mn2InHg (PBE).

distance to the lowest polymorph of the same formula: 0.0573 eV/atom
space-group type: P4/mmm, No. 123

POSCAR file:
```
Mn2InHg
1.0
3.057 0.000 0.000
0.000 3.057 0.000
0.000 0.000 7.674
Mn In Hg
2 1 1
direct
0.000 0.000 0.249
0.000 0.000 0.751
0.500 0.500 0.500
0.500 0.500 0.000
```



Entry 15:
Entry from the Alexandria database: an optimized crystal structure of NaMn2InHg (PBE).

space-group type: P4/mmm, No. 123

POSCAR file:
```
NaMn2InHg
1.0
5.128 0.000 0.000
0.000 5.128 0.000
0.000 0.000 5.321
Na Mn In Hg
1 2 1 1
direct
0.000 0.000 0.000
0.000 0.500 0.000
0.500 0.000 0.000
0.000 0.000 0.500
0.500 0.500 0.500
```



E list, top to bottom, in eV per atom: -5.04, -2.90, -5.05, -3.00, -2.86, -2.91, -2.81, -2.91, -2.94, -5.11, -2.85, -2.90, -2.86, -5.05, -3.30
Size of the total moment list, top to bottom, in μB/f.u.: 7.008, 4.055, 7.019, 4.304, 4.110, 3.947, 4.485, 4.142, 3.457, 0.508, 4.060, 3.972, 4.015, 7.008, 8.559
Energy relative to the elements list, top to bottom, in eV/atom: 0.30, 0.23, 0.29, 0.40, 0.26, 0.22, 0.32, 0.22, 0.19, 0.24, 0.28, 0.23, 0.26, 0.30, 1.24